--- one ---
DFT (PBE-GGA) results for a relaxed structure of Tb5Sm12Th2.

Properties
The crystal system is monoclinic.

```
19
Lattice="7.886 -4.687 0.000 7.886 4.687 0.000 -0.403 0.000 8.744" Properties=species:S:1:pos:R:3 pbc="T T T"
Tb 0.000 0.000 0.000
Tb 3.643 0.000 0.584
Tb 4.438 0.000 4.047
Tb 10.932 0.000 4.697
Tb 11.727 0.000 8.160
Sm 5.449 3.007 2.269
Sm 0.990 0.000 3.309
Sm 5.489 1.843 7.143
Sm 9.921 3.007 6.475
Sm 9.881 1.843 1.601
Sm 6.890 0.000 1.400
Sm 8.480 0.000 7.345
Sm 5.489 -1.843 7.143
Sm 5.449 -3.007 2.269
Sm 9.881 -1.843 1.601
Sm 14.380 0.000 5.435
Sm 9.921 -3.007 6.475
Th 7.685 1.561 4.372
Th 7.685 -1.561 4.372
```

--- two ---
DFT (PBE-GGA) results for a relaxed structure of Tb5Sm12Th2.

Properties
The crystal system is monoclinic.

```
19
Lattice="11.106 -3.544 0.000 11.106 3.544 0.000 -2.918 0.000 8.219" Properties=species:S:1:pos:R:3 pbc="T T T"
Tb 0.000 0.000 0.000
Tb 2.637 0.000 8.165
Tb 6.612 0.000 3.323
Tb 12.683 0.000 4.896
Tb 16.657 0.000 0.054
Sm 4.592 1.750 5.807
Sm 1.513 0.000 4.636
Sm 8.396 1.733 0.930
Sm 10.899 1.733 7.289
Sm 7.735 0.000 6.582
Sm 14.702 1.750 2.412
Sm 4.592 -1.750 5.807
Sm 11.559 0.000 1.637
Sm 8.396 -1.733 0.930
Sm 10.899 -1.733 7.289
Sm 17.781 0.000 3.583
Sm 14.702 -1.750 2.412
Th 9.647 1.776 4.109
Th 9.647 -1.776 4.109
```

one wins, 7 meV per atom ahead of the next structure.

--- one ---
DFT (PBE-GGA) results for a relaxed structure of Tb2Sm3Th2.

Properties
The crystal system is monoclinic.

```
7
Lattice="8.773 -1.738 0.000 8.773 1.738 0.000 -4.230 0.000 7.570" Properties=species:S:1:pos:R:3 pbc="T T T"
Tb 0.182 0.000 1.650
Tb 13.135 0.000 5.920
Sm 3.449 0.000 2.755
Sm 6.658 0.000 3.785
Sm 9.868 0.000 4.815
Th 5.936 0.000 0.307
Th 7.381 0.000 7.263
```

--- two ---
DFT (PBE-GGA) results for a relaxed structure of Tb2Sm3Th2.

Properties
The crystal system is orthorhombic.

```
7
Lattice="2.911 -11.248 0.000 2.911 11.248 0.000 0.000 0.000 3.553" Properties=species:S:1:pos:R:3 pbc="T T T"
Tb 2.911 9.625 0.000
Tb 2.911 -9.625 0.000
Sm 2.911 3.455 0.000
Sm 2.911 0.000 1.777
Sm 2.911 -3.455 0.000
Th 2.911 6.637 1.777
Th 2.911 -6.637 1.777
```

two wins, 73 meV per atom ahead of the next structure.

--- one ---
DFT (PBE-GGA) results for a relaxed structure of Tb7Sm3Th.

Properties
The crystal system is trigonal.

```
11
Lattice="7.085 0.000 0.000 -3.542 6.136 0.000 0.000 0.000 8.714" Properties=species:S:1:pos:R:3 pbc="T T T"
Tb 0.000 0.000 0.000
Tb 0.000 2.035 5.852
Tb -1.780 5.118 5.852
Tb 3.542 0.032 8.695
Tb 1.799 3.052 8.695
Tb 1.780 5.118 5.852
Tb 5.286 3.052 8.695
Sm 1.792 1.034 2.950
Sm 5.293 1.034 2.950
Sm 3.542 4.067 2.950
Th 3.542 2.045 5.855
```

--- two ---
DFT (PBE-GGA) results for a relaxed structure of Tb7Sm3Th.

Properties
The crystal system is monoclinic.

```
22
Lattice="3.508 -9.323 0.000 3.508 9.323 0.000 -0.136 0.000 11.193" Properties=species:S:1:pos:R:3 pbc="T T T"
Tb 1.673 2.990 5.276
Tb 1.765 2.987 0.309
Tb 1.647 1.611 8.389
Tb 1.721 0.000 2.798
Tb 1.647 -1.611 8.389
Tb 1.673 -2.990 5.276
Tb 1.765 -2.987 0.309
Tb 5.115 2.987 10.884
Tb 5.207 2.990 5.917
Tb 5.232 1.611 2.804
Tb 5.158 0.000 8.395
Tb 5.232 -1.611 2.804
Tb 5.115 -2.987 10.884
Tb 5.207 -2.990 5.917
Sm 0.000 0.000 0.000
Sm 3.475 4.656 2.790
Sm 3.405 4.656 8.403
Sm 3.440 0.000 5.597
Sm 3.475 -4.656 2.790
Sm 3.405 -4.656 8.403
Th -0.068 0.000 5.597
Th 3.508 0.000 0.000
```

two wins, 19 meV per atom ahead of the next structure.